No. 1
DFT (PBE-GGA) results for a relaxed structure of Ac2NdY5.

Computed properties:
calculated volume	1130.1	Å³ per cell
formation enthalpy at 0 K	0.035	eV per atom

Cell and atoms, written as POSCAR:
```
Ac2NdY5
1.0
10.396 0.000 0.000
0.000 14.681 0.000
0.000 0.000 7.405
Ac Nd Y
8 4 20
Cartesian
0.000 0.000 1.834 Ac
0.000 0.000 5.570 Ac
2.503 5.452 3.702 Ac
2.695 12.792 3.702 Ac
5.198 7.340 1.834 Ac
5.198 7.340 5.570 Ac
7.701 1.888 3.702 Ac
7.893 9.229 3.702 Ac
2.509 5.468 0.000 Nd
2.689 12.808 0.000 Nd
7.706 1.873 0.000 Nd
7.887 9.213 0.000 Nd
0.000 7.340 1.818 Y
0.000 7.340 5.587 Y
0.050 11.002 1.818 Y
0.050 11.002 5.587 Y
2.558 9.165 3.702 Y
2.562 9.195 0.000 Y
2.640 1.825 3.702 Y
2.635 1.855 0.000 Y
5.148 3.662 1.818 Y
5.148 3.662 5.587 Y
5.198 0.000 1.818 Y
5.198 0.000 5.587 Y
5.248 11.019 1.818 Y
5.248 11.019 5.587 Y
7.760 12.826 0.000 Y
7.756 12.856 3.702 Y
7.833 5.485 0.000 Y
7.838 5.515 3.702 Y
10.346 3.679 1.818 Y
10.346 3.679 5.587 Y
```

=====

No. 2
DFT (PBE-GGA) results for a relaxed structure of LaReBr2.

Computed properties:
formation energy from raw total energies	0.364	eV/atom
distance to the lowest polymorph of the same formula	0.637	eV per atom
calculated volume	121.1	Å³ per cell

Cell and atoms, written as POSCAR:
```
LaReBr2
1.0
3.502 0.000 0.000
0.000 3.502 0.000
0.000 0.000 9.871
La Re Br
1 1 2
Cartesian
0.000 0.000 0.000 La
0.000 0.000 4.936 Re
1.751 1.751 1.844 Br
1.751 1.751 8.027 Br
```